Compound: Nb2NiRu2
Source: Alexandria
Functional: PBE-GGA
Structure: optimized geometry

Cell: 7.2285 7.2285 3.0922 Å, 90.00 90.00 90.00°
Closest atoms and distances in Å follow each position.
Fractional coordinates of all 10 atoms:
Nb: 0.1653 0.6653 0.5000  6 Ru 2.54-2.69
Nb: 0.8347 0.3347 0.5000  6 Ru 2.54-2.69
Nb: 0.3347 0.1653 0.5000  6 Ru 2.54-2.69
Nb: 0.6653 0.8347 0.5000  6 Ru 2.54-2.69
Ru: 0.6374 0.1374 0.0000  6 Nb 2.54-2.69, 2 Ni 2.80, 1 Ru 2.81
Ru: 0.8626 0.6374 0.0000  6 Nb 2.54-2.69, 2 Ni 2.80, 1 Ru 2.81
Ru: 0.1374 0.3626 0.0000  6 Nb 2.54-2.69, 2 Ni 2.80, 1 Ru 2.81
Ru: 0.3626 0.8626 0.0000  6 Nb 2.54-2.69, 2 Ni 2.80, 1 Ru 2.81
Ni: 0.0000 0.0000 0.0000  4 Ru 2.80, 2 Ni 3.09, 8 Nb 3.11
Ni: 0.5000 0.5000 0.0000  4 Ru 2.80, 2 Ni 3.09, 8 Nb 3.11

space-group type: P4/mbm
formation energy from the elements: 34 meV per atom